No. 1
{"formula": "K3Tm3CrTe8", "functional": "GGA-PBE", "state": "optimized geometry", "raw_formation_energy_ev_per_atom": -1.0756, "energy_ev_per_atom": -4.51, "space_group": "R-3m", "m_tot_mub_per_cell": 2.755, "lattice": [[4.266, 2.463, 8.580], [-4.266, 2.463, 8.580], [0.000, -4.926, 8.580]], "species": ["K", "K", "K", "Tm", "Tm", "Tm", "Cr", "Te", "Te", "Te", "Te", "Te", "Te", "Te", "Te"], "fractional_positions": [[0.000, 0.500, 0.500], [0.500, 0.000, 0.500], [0.500, 0.500, 0.000], [0.000, 0.000, 0.500], [0.000, 0.500, 0.000], [0.500, 0.000, 0.000], [0.500, 0.500, 0.500], [0.236, 0.236, 0.236], [0.254, 0.720, 0.720], [0.280, 0.280, 0.746], [0.280, 0.746, 0.280], [0.720, 0.254, 0.720], [0.720, 0.720, 0.254], [0.746, 0.280, 0.280], [0.764, 0.764, 0.764]]}

---

No. 2
{"formula": "K2VCr2Te6", "functional": "GGA-PBE", "state": "optimized geometry", "raw_formation_energy_ev_per_atom": -0.4867, "energy_ev_per_atom": -4.98, "space_group": "C2/m", "m_tot_mub_per_cell": 7.259, "lattice": [[3.439, -5.951, 0.000], [3.439, 5.951, 0.000], [-2.276, 0.000, 8.441]], "species": ["K", "K", "V", "Cr", "Cr", "Te", "Te", "Te", "Te", "Te", "Te"], "fractional_positions": [[0.166, 0.834, 0.000], [0.834, 0.166, 0.000], [0.000, 0.000, 0.500], [0.332, 0.668, 0.500], [0.668, 0.332, 0.500], [0.063, 0.395, 0.681], [0.277, 0.277, 0.319], [0.395, 0.063, 0.681], [0.605, 0.937, 0.319], [0.723, 0.723, 0.681], [0.937, 0.605, 0.319]]}

---

No. 3
{"formula": "KVCrTe3", "functional": "GGA-PBE", "state": "optimized geometry", "raw_formation_energy_ev_per_atom": -0.4140, "energy_ev_per_atom": -5.29, "space_group": "P2_1/m", "m_tot_mub_per_cell": 5.319, "lattice": [[9.411, 0.000, 0.000], [0.000, 3.912, 0.000], [-4.218, 0.000, 9.397]], "species": ["K", "K", "V", "V", "Cr", "Cr", "Te", "Te", "Te", "Te", "Te", "Te"], "fractional_positions": [[0.224, 0.250, 0.250], [0.776, 0.750, 0.750], [0.067, 0.250, 0.585], [0.933, 0.750, 0.415], [0.324, 0.750, 0.841], [0.676, 0.250, 0.159], [0.124, 0.250, 0.858], [0.247, 0.750, 0.549], [0.464, 0.750, 0.133], [0.536, 0.250, 0.867], [0.753, 0.250, 0.451], [0.876, 0.750, 0.142]]}

---

No. 4
{"formula": "K3Y3CrTe8", "functional": "GGA-PBE", "state": "optimized geometry", "raw_formation_energy_ev_per_atom": -1.0990, "energy_ev_per_atom": -4.93, "space_group": "R-3m", "m_tot_mub_per_cell": 2.735, "lattice": [[4.308, 2.487, 8.591], [-4.308, 2.487, 8.591], [0.000, -4.975, 8.591]], "species": ["K", "K", "K", "Y", "Y", "Y", "Cr", "Te", "Te", "Te", "Te", "Te", "Te", "Te", "Te"], "fractional_positions": [[0.000, 0.500, 0.500], [0.500, 0.000, 0.500], [0.500, 0.500, 0.000], [0.000, 0.000, 0.500], [0.000, 0.500, 0.000], [0.500, 0.000, 0.000], [0.500, 0.500, 0.500], [0.237, 0.237, 0.237], [0.258, 0.718, 0.718], [0.282, 0.282, 0.742], [0.282, 0.742, 0.282], [0.718, 0.258, 0.718], [0.718, 0.718, 0.258], [0.742, 0.282, 0.282], [0.763, 0.763, 0.763]]}

---

No. 5
{"formula": "KTiCr2", "functional": "GGA-PBE", "state": "optimized geometry", "e_form_ev_per_atom": 1.39, "energy_ev_per_atom": -5.67, "space_group": "Fm-3m", "m_tot_mub_per_cell": 6.543, "de_polymorph_mev_per_atom": 0, "lattice": [[0.000, 3.482, 3.482], [3.482, 0.000, 3.482], [3.482, 3.482, 0.000]], "species": ["K", "Ti", "Cr", "Cr"], "fractional_positions": [[0.000, 0.000, 0.000], [0.500, 0.500, 0.500], [0.250, 0.250, 0.250], [0.750, 0.750, 0.750]]}

---

No. 6
{"formula": "KTiCr2", "functional": "GGA-PBE", "state": "optimized geometry", "e_form_ev_per_atom": 1.58, "energy_ev_per_atom": -5.48, "space_group": "I4_1/amd", "m_tot_mub_per_cell": 12.083, "de_polymorph_mev_per_atom": 198, "lattice": [[-2.614, 2.614, 8.709], [2.614, -2.614, 8.709], [2.614, 2.614, -8.709]], "species": ["K", "K", "Ti", "Ti", "Cr", "Cr", "Cr", "Cr"], "fractional_positions": [[0.375, 0.625, 0.750], [0.625, 0.375, 0.250], [0.125, 0.875, 0.250], [0.875, 0.125, 0.750], [0.000, 0.000, 0.000], [0.000, 0.000, 0.500], [0.000, 0.500, 0.000], [0.500, 0.000, 0.500]]}

---

No. 7
{"formula": "KTi2Cr", "functional": "GGA-PBE", "state": "optimized geometry", "e_form_ev_per_atom": 1.25, "energy_ev_per_atom": -5.37, "space_group": "Fm-3m", "m_tot_mub_per_cell": 2.437, "de_polymorph_mev_per_atom": 83, "lattice": [[0.000, 3.440, 3.440], [3.440, 0.000, 3.440], [3.440, 3.440, 0.000]], "species": ["K", "Ti", "Ti", "Cr"], "fractional_positions": [[0.000, 0.000, 0.000], [0.250, 0.250, 0.250], [0.750, 0.750, 0.750], [0.500, 0.500, 0.500]]}

---

No. 8
{"formula": "KTi2Cr", "functional": "GGA-PBE", "state": "optimized geometry", "e_form_ev_per_atom": 1.17, "energy_ev_per_atom": -5.46, "space_group": "I4_1/amd", "m_tot_mub_per_cell": 0.905, "de_polymorph_mev_per_atom": 0, "lattice": [[-3.501, 3.501, 4.962], [3.501, -3.501, 4.962], [3.501, 3.501, -4.962]], "species": ["K", "K", "Ti", "Ti", "Ti", "Ti", "Cr", "Cr"], "fractional_positions": [[0.375, 0.625, 0.750], [0.625, 0.375, 0.250], [0.000, 0.000, 0.000], [0.000, 0.000, 0.500], [0.000, 0.500, 0.000], [0.500, 0.000, 0.500], [0.125, 0.875, 0.250], [0.875, 0.125, 0.750]]}

---

No. 9
{"formula": "KTiCr3", "functional": "GGA-PBE", "state": "optimized geometry", "e_form_ev_per_atom": 1.41, "energy_ev_per_atom": -6.16, "space_group": "Pm-3m", "m_tot_mub_per_cell": 10.865, "de_polymorph_mev_per_atom": 0, "lattice": [[4.905, 0.000, 0.000], [0.000, 4.905, 0.000], [0.000, 0.000, 4.905]], "species": ["K", "Ti", "Cr", "Cr", "Cr"], "fractional_positions": [[0.000, 0.000, 0.000], [0.500, 0.500, 0.500], [0.000, 0.500, 0.500], [0.500, 0.000, 0.500], [0.500, 0.500, 0.000]]}

---

No. 10
{"formula": "K3TiCr", "functional": "GGA-PBE", "state": "optimized geometry", "e_form_ev_per_atom": 1.40, "energy_ev_per_atom": -2.76, "space_group": "Pm-3m", "m_tot_mub_per_cell": 8.928, "de_polymorph_mev_per_atom": 0, "lattice": [[6.537, 0.000, 0.000], [0.000, 6.537, 0.000], [0.000, 0.000, 6.537]], "species": ["K", "K", "K", "Ti", "Cr"], "fractional_positions": [[0.000, 0.000, 0.500], [0.000, 0.500, 0.000], [0.500, 0.000, 0.000], [0.500, 0.500, 0.500], [0.000, 0.000, 0.000]]}

---

No. 11
{"formula": "KTiCr3", "functional": "GGA-PBE", "state": "optimized geometry", "e_form_ev_per_atom": 2.39, "energy_ev_per_atom": -5.18, "space_group": "Pm-3m", "m_tot_mub_per_cell": 10.793, "de_polymorph_mev_per_atom": 979, "lattice": [[4.874, 0.000, 0.000], [0.000, 4.874, 0.000], [0.000, 0.000, 4.874]], "species": ["K", "Ti", "Cr", "Cr", "Cr"], "fractional_positions": [[0.000, 0.000, 0.000], [0.500, 0.500, 0.500], [0.000, 0.000, 0.500], [0.000, 0.500, 0.000], [0.500, 0.000, 0.000]]}

---

No. 12
{"formula": "KTl2Cr", "functional": "GGA-PBE", "state": "optimized geometry", "e_form_ev_per_atom": 0.38, "energy_ev_per_atom": -3.48, "space_group": "Pm", "m_tot_mub_per_cell": 3.940, "de_polymorph_mev_per_atom": 99, "lattice": [[3.412, 0.000, 0.000], [0.000, 4.637, 0.000], [-0.036, 0.000, 7.830]], "species": ["K", "Tl", "Tl", "Cr"], "fractional_positions": [[0.000, 0.000, 0.000], [0.503, 0.500, 0.288], [0.506, 0.000, 0.583], [0.007, 0.500, 0.605]]}

---

Question: What is the formula in the eleventh record?
Answer: KTiCr3